## BaPaPtO5 (PBE)

Data for an optimized crystal structure of BaPaPtO5.

```
data_BaPaPtO5
_chemical_formula_sum 'Ba4 Pa4 Pt4 O20'
_symmetry_space_group_name_H-M 'C 1 2/c 1'
_symmetry_Int_Tables_number 15
_cell_length_a 6.376
_cell_length_b 10.569
_cell_length_c 8.219
_cell_angle_alpha 90.00
_cell_angle_beta 105.22
_cell_angle_gamma 90.00
loop_
_symmetry_equiv_pos_as_xyz
'x,y,z'
'-x,-y,-z'
'-x,y,-z+1/2'
'x,-y,z+1/2'
'x+1/2,y+1/2,z'
'-x+1/2,-y+1/2,-z'
'-x+1/2,y+1/2,-z+1/2'
'x+1/2,-y+1/2,z+1/2'
loop_
_atom_site_label
_atom_site_type_symbol
_atom_site_fract_x
_atom_site_fract_y
_atom_site_fract_z
Ba1 Ba 0.000 0.180 0.250
Pa1 Pa 0.000 0.500 0.000
Pt1 Pt 0.000 0.168 0.750
O1 O 0.000 0.435 0.250
O2 O 0.023 0.304 0.580
O3 O 0.145 0.037 0.919
```

Properties
* total magnetization: 4.26 μB/cell
* energy relative to the elements, uncorrected: -52.29 kcal/mol of atoms